PBE P2RuBr, relaxed; M_tot = 0.00 μB/f.u.; space-group type = Cmmm (65); crystal system = orthorhombic; electronic total energy = -0.1680 Ha/atom
1.0
2.5150 -4.1034 0.0000
2.5150 4.1034 0.0000
0.0000 0.0000 3.1623
P Ru Br
2 1 1
direct
0.0000 0.5000 0.0000
0.5000 0.0000 0.0000
0.0000 0.0000 0.5000
0.5000 0.5000 0.5000